1.
The following is a DFT calculation (GGA-PBE) of a relaxed SrDyIn2Se4 crystal.

Cell lengths 4.2391, 7.5948, 7.6076 Å; angles 71.79, 90.00, 90.00 degrees
Positions (direct):
Sr1 0.5000 0.5000 0.0000
Dy1 0.0000 0.5000 0.5000
In1 0.0000 0.0000 0.0000
In2 0.5000 0.0000 0.5000
Se1 0.0000 0.7403 0.7264
Se2 0.0000 0.2598 0.2736
Se3 0.5000 0.7256 0.2830
Se4 0.5000 0.2744 0.7170

## Properties
As for the energy: -4.418 eV per atom. The calculation puts the mass density at 5.7 Mg/m³. As for the formation energy (no corrections): -1.206 eV/atom. As for the density of states at the Fermi level: 3.68 states/eV per cell.

***

2.
The following is a DFT calculation (GGA-PBE) of a relaxed Sr2DyInSe5 crystal.

Cell lengths 4.2044, 9.5024, 13.1043 Å; angles 90.00, 90.00, 102.78 degrees
Positions (direct):
Sr1 0.8679 0.7358 0.8161
Sr2 0.1158 0.2316 0.6800
Sr3 0.1321 0.2642 0.3161
Sr4 0.8842 0.7684 0.1800
Dy1 0.7877 0.5755 0.5211
Dy2 0.2123 0.4245 0.0211
In1 0.5503 0.1005 0.9422
In2 0.4497 0.8995 0.4422
Se1 0.3616 0.7233 0.0019
Se2 0.6880 0.3760 0.8679
Se3 0.4942 0.9885 0.7653
Se4 0.2880 0.5760 0.6678
Se5 0.9495 0.8990 0.5617
Se6 0.6384 0.2767 0.5019
Se7 0.3120 0.6240 0.3679
Se8 0.5058 0.0115 0.2653
Se9 0.7120 0.4240 0.1678
Se10 0.0505 0.1010 0.0617

## Properties
As for the energy: -4.719 eV per atom. The calculation puts the mass density at 5.5 Mg/m³. As for the formation energy (no corrections): -1.594 eV/atom.